VASP calculation (GGA-PBE) on NdHoSi2Pd5 after structural relaxation.

As for the magnetic moment: 0.00 μB/cell. The calculation puts the formation energy from raw total energies at -0.8909 eV per atom. As for the crystal system: tetragonal. The energy is -0.44241 Ry/atom.

The space group is P4/mmm (No. 123) and the conventional cell measures 4.215, 4.215 and 9.022 Å, with angles of 90.00, 90.00 and 90.00 degrees. The asymmetric unit holds Nd at (0.000, 0.000, 0.000), Ho at (0.000, 0.000, 0.500), Si at (0.500, 0.500, 0.370), Pd at (0.000, 0.500, 0.237) and Pd at (0.500, 0.500, 0.000).